## NaHoPuCl6 (PBE)

Data for crystalline NaHoPuCl6 at its relaxed geometry.

## Properties
**M_tot**: 6.00 μB per formula unit
**Formation energy without anion corrections**: -1.978 eV/atom

a b c (Å): 6.9579 6.9579 12.4588
angles (deg): 90.00 90.00 120.00
Space group P-31c (No. 163)
Asymmetric unit:
Na 0.3333 0.6667 0.2500
Ho 0.3333 0.6667 0.7500
Pu 0.0000 0.0000 0.0000
Cl 0.0196 0.3522 0.6296